[1]
A plane-wave DFT calculation with PBE was carried out for a relaxed structure of Sr2SmOs2N6.

Electronic total energy   -7.724 eV/atom
Total magnetization   0.00 Bohr magnetons per cell

Cell lengths 5.995, 5.995, 7.026 Å; angles 64.75, 64.75, 60.00 degrees
Positions (direct):
Sm 0.000 0.000 0.000
Sr 0.791 0.791 0.628
Sr 0.209 0.209 0.372
N 0.759 0.258 0.725
N 0.241 0.742 0.275
N 0.258 0.759 0.725
N 0.258 0.258 0.725
N 0.742 0.241 0.275
N 0.742 0.742 0.275
Os 0.597 0.597 0.208
Os 0.403 0.403 0.792



[2]
A plane-wave DFT calculation with PBE was carried out for a relaxed structure of SmTh2OsN4.

Electronic total energy   -8.998 eV/atom
Total magnetization   0.00 Bohr magnetons per cell

Cell lengths 3.445, 6.323, 12.025 Å; angles 90.00, 90.00, 105.81 degrees
Positions (direct):
Sm 0.112 0.224 0.750
Sm 0.888 0.776 0.250
N 0.723 0.446 0.629
N 0.457 0.914 0.750
N 0.277 0.554 0.371
N 0.277 0.554 0.129
N 0.543 0.086 0.250
N 0.000 0.000 0.000
N 0.723 0.446 0.871
N 0.000 0.000 0.500
Th 0.632 0.263 0.052
Th 0.632 0.263 0.448
Th 0.368 0.737 0.948
Th 0.368 0.737 0.552
Os 0.151 0.301 0.250
Os 0.849 0.699 0.750



The records above yield mass density values of 6.90, 11.34 g/cm³, respectively.